CrTcNO2, optimized geometry, DFT PBE+U; ρ = 5.557 g/cm3; uncorrected energy = -38.41 eV/cell; space group = P4/mmm
1.0
-2.450 1.619 2.479
-2.691 -2.560 -0.987
1.276 -2.440 2.854
N O Cr Tc
1 2 1 1
Cartesian
0.638 -1.220 1.427
-1.345 -1.280 -0.493
-1.225 0.809 1.240
-1.932 -1.691 2.173
0.000 0.000 0.000